# PmNdSmSc GGA-PBE optimized geometry
data_PmNdSmSc
_chemical_formula_sum 'Pm1 Nd1 Sm1 Sc1'
_space_group_name_H-M_alt 'P 1'
_space_group_IT_number 1
_cell_length_a 5.653
_cell_length_b 5.653
_cell_length_c 5.653
_cell_angle_alpha 60.00
_cell_angle_beta 60.00
_cell_angle_gamma 60.00
loop_
_space_group_symop_operation_xyz
'x,y,z'
loop_
_atom_site_label
_atom_site_fract_x
_atom_site_fract_y
_atom_site_fract_z
Nd1 0.750 0.750 0.750
Sm1 0.250 0.250 0.250
Sc1 0.000 0.000 0.000
Pm1 0.500 0.500 0.500
# Total magnetic moment, μB per cell: 0.00
# Calculated total energy, eV/atom: -5.005
# V, Å³ per atom: 31.9
# Formation enthalpy at 0 K, eV per atom: 0.138